*i*
VASP calculation (PBE) on Cs2Hg5Au2 after structural relaxation.

As for the magnetization: 0.000 μB per atom. The value obtained for the volume is 35.58 A^3/atom. As for the space-group type: No. 46.

a b c (Å): 8.760 6.903 11.970
angles (deg): 106.76 111.46 90.00
Fractional coordinates of all 18 atoms:
Cs 0.770 0.366 0.714
Cs 0.230 0.652 0.286
Cs 0.444 0.866 0.714
Cs 0.556 0.152 0.286
Hg 0.761 0.270 0.022
Hg 0.250 0.379 0.740
Hg 0.239 0.249 0.978
Hg 0.990 0.879 0.740
Hg 0.001 0.009 0.500
Hg 0.999 0.509 0.500
Hg 0.750 0.639 0.260
Hg 0.761 0.770 0.022
Hg 0.239 0.749 0.978
Hg 0.010 0.139 0.260
Au 0.500 0.509 0.000
Au 0.305 0.262 0.500
Au 0.695 0.762 0.500
Au 0.000 0.009 0.000

=====

*ii*
VASP calculation (PBE) on Cs2Hg5Au2 after structural relaxation.

As for the magnetization: 0.000 μB per atom. The value obtained for the volume is 37.79 A^3/atom. As for the space-group type: No. 12.

a b c (Å): 5.303 6.625 10.647
angles (deg): 96.58 90.00 113.59
Fractional coordinates of all 9 atoms:
Au 0.833 0.665 0.164
Au 0.167 0.335 0.836
Cs 0.447 0.893 0.722
Cs 0.553 0.107 0.278
Hg 0.000 0.000 0.000
Hg 0.751 0.502 0.871
Hg 0.249 0.498 0.129
Hg 0.140 0.280 0.560
Hg 0.860 0.720 0.440

=====

Which structure wins on stability? *ii* wins.

=====

*i*
VASP calculation (PBE) on Cs8Hg2Au after structural relaxation.

As for the magnetization: 0.000 μB per atom. The value obtained for the volume is 76.93 A^3/atom. As for the space-group type: No. 12.

a b c (Å): 8.949 10.279 10.279
angles (deg): 71.26 74.60 74.60
Fractional coordinates of all 11 atoms:
Cs 0.251 0.130 0.130
Cs 0.752 0.345 0.943
Cs 0.248 0.655 0.057
Cs 0.749 0.870 0.870
Cs 0.777 0.423 0.423
Cs 0.752 0.943 0.345
Cs 0.223 0.577 0.577
Cs 0.248 0.057 0.655
Hg 0.439 0.319 0.319
Hg 0.561 0.681 0.681
Au 0.000 0.000 0.000

=====

*ii*
VASP calculation (PBE) on Cs8Hg2Au after structural relaxation.

As for the magnetization: 0.000 μB per atom. The value obtained for the volume is 68.74 A^3/atom. As for the space-group type: No. 12.

a b c (Å): 6.497 9.367 13.280
angles (deg): 104.77 104.16 90.00
Fractional coordinates of all 11 atoms:
Cs 0.219 0.327 0.437
Cs 0.781 0.673 0.563
Cs 0.337 0.037 0.674
Cs 0.663 0.963 0.326
Cs 0.963 0.183 0.925
Cs 0.587 0.406 0.174
Cs 0.413 0.594 0.826
Cs 0.037 0.817 0.075
Au 0.500 0.000 0.000
Hg 0.185 0.716 0.370
Hg 0.815 0.284 0.630

=====

Which structure wins on stability? *i* wins.

=====

*i*
VASP calculation (PBE) on Cs3HgAu3 after structural relaxation.

As for the magnetization: 0.000 μB per atom. The value obtained for the volume is 51.20 A^3/atom. As for the space-group type: No. 176.

a b c (Å): 7.244 10.689 10.689
angles (deg): 120.00 90.00 90.00
Fractional coordinates of all 14 atoms:
Cs 0.250 0.645 0.948
Cs 0.750 0.948 0.303
Cs 0.750 0.355 0.052
Cs 0.750 0.697 0.645
Cs 0.250 0.052 0.697
Cs 0.250 0.303 0.355
Au 0.750 0.061 0.684
Au 0.250 0.377 0.061
Au 0.250 0.939 0.316
Au 0.750 0.623 0.939
Au 0.750 0.316 0.377
Au 0.250 0.684 0.623
Hg 0.750 0.333 0.667
Hg 0.250 0.667 0.333

=====

*ii*
VASP calculation (PBE) on Cs3HgAu3 after structural relaxation.

As for the magnetization: 0.000 μB per atom. The value obtained for the volume is 38.73 A^3/atom. As for the space-group type: No. 12.

a b c (Å): 5.207 6.888 16.534
angles (deg): 86.96 80.94 67.79
Fractional coordinates of all 14 atoms:
Au 0.900 0.122 0.078
Au 0.875 0.716 0.533
Au 0.950 0.869 0.231
Au 0.125 0.284 0.467
Au 0.050 0.131 0.769
Au 0.100 0.878 0.922
Cs 0.396 0.283 0.925
Cs 0.466 0.685 0.383
Cs 0.534 0.315 0.617
Cs 0.752 0.731 0.764
Cs 0.604 0.717 0.075
Cs 0.248 0.269 0.236
Hg 0.751 0.096 0.401
Hg 0.249 0.904 0.599

=====

Which structure wins on stability? *ii* wins.